(1)
# HfNi2Sb2 (PBE, optimized geometry)
data_HfNi2Sb2
_chemical_formula_sum 'Hf2 Ni4 Sb4'
_cell_length_a 6.970
_cell_length_b 6.970
_cell_length_c 3.633
_cell_angle_alpha 90.00
_cell_angle_beta 90.00
_cell_angle_gamma 90.00
_symmetry_space_group_name_H-M 'P 1'
_symmetry_Int_Tables_number 1
loop_
_symmetry_equiv_pos_as_xyz
'x,y,z'
loop_
_atom_site_label
_atom_site_fract_x
_atom_site_fract_y
_atom_site_fract_z
Hf1 0.500 0.500 0.000
Hf2 0.000 0.000 0.000
Ni1 0.879 0.621 0.000
Ni2 0.621 0.121 0.000
Ni3 0.121 0.379 0.000
Ni4 0.379 0.879 0.000
Sb1 0.177 0.677 0.500
Sb2 0.823 0.323 0.500
Sb3 0.677 0.823 0.500
Sb4 0.323 0.177 0.500
# Mass density ... 10.150 Mg/m³
# Magnetic moment ... 0.00 μB/atom
# Energy ... -30.90 eV per formula unit

=====

(2)
# HfNi4Sb (PBE, optimized geometry)
data_HfNi4Sb
_chemical_formula_sum 'Hf2 Ni8 Sb2'
_cell_length_a 6.503
_cell_length_b 5.120
_cell_length_c 7.184
_cell_angle_alpha 110.88
_cell_angle_beta 120.29
_cell_angle_gamma 90.00
_symmetry_space_group_name_H-M 'P 1'
_symmetry_Int_Tables_number 1
loop_
_symmetry_equiv_pos_as_xyz
'x,y,z'
loop_
_atom_site_label
_atom_site_fract_x
_atom_site_fract_y
_atom_site_fract_z
Sb1 0.184 0.403 0.807
Sb2 0.816 0.597 0.193
Ni1 0.462 0.338 0.195
Ni2 0.538 0.662 0.805
Ni3 0.713 0.298 0.596
Ni4 0.000 0.752 0.000
Ni5 0.287 0.702 0.404
Ni6 0.538 0.144 0.805
Ni7 0.462 0.856 0.195
Ni8 0.000 0.248 0.000
Hf1 0.749 0.801 0.601
Hf2 0.251 0.199 0.399
# Mass density ... 9.444 Mg/m³
# Magnetic moment ... 0.00 μB/atom
# Energy ... -38.40 eV per formula unit

=====

(3)
# HfNi2Sb (PBE, optimized geometry)
data_HfNi2Sb
_chemical_formula_sum 'Hf2 Ni4 Sb2'
_cell_length_a 4.216
_cell_length_b 4.216
_cell_length_c 8.272
_cell_angle_alpha 90.00
_cell_angle_beta 90.00
_cell_angle_gamma 120.00
_symmetry_space_group_name_H-M 'P 1'
_symmetry_Int_Tables_number 1
loop_
_symmetry_equiv_pos_as_xyz
'x,y,z'
loop_
_atom_site_label
_atom_site_fract_x
_atom_site_fract_y
_atom_site_fract_z
Sb1 0.000 0.000 0.000
Sb2 0.000 0.000 0.500
Ni1 0.333 0.667 0.903
Ni2 0.667 0.333 0.097
Ni3 0.333 0.667 0.597
Ni4 0.667 0.333 0.403
Hf1 0.667 0.333 0.750
Hf2 0.333 0.667 0.250
# Mass density ... 10.895 Mg/m³
# Magnetic moment ... 0.00 μB/atom
# Energy ... -27.76 eV per formula unit

=====

(4)
# Hf3NiSb2 (PBE, optimized geometry)
data_Hf3NiSb2
_chemical_formula_sum 'Hf12 Ni4 Sb8'
_cell_length_a 3.939
_cell_length_b 10.880
_cell_length_c 11.463
_cell_angle_alpha 90.00
_cell_angle_beta 90.00
_cell_angle_gamma 90.00
_symmetry_space_group_name_H-M 'P 1'
_symmetry_Int_Tables_number 1
loop_
_symmetry_equiv_pos_as_xyz
'x,y,z'
loop_
_atom_site_label
_atom_site_fract_x
_atom_site_fract_y
_atom_site_fract_z
Sb1 0.750 0.204 0.993
Sb2 0.250 0.796 0.007
Sb3 0.250 0.468 0.809
Sb4 0.250 0.704 0.507
Sb5 0.750 0.532 0.191
Sb6 0.750 0.296 0.493
Sb7 0.750 0.968 0.691
Sb8 0.250 0.032 0.309
Ni1 0.750 0.635 0.389
Ni2 0.750 0.865 0.889
Ni3 0.250 0.365 0.611
Ni4 0.250 0.135 0.111
Hf1 0.750 0.892 0.436
Hf2 0.250 0.752 0.753
Hf3 0.250 0.108 0.564
Hf4 0.750 0.608 0.936
Hf5 0.250 0.748 0.253
Hf6 0.750 0.252 0.747
Hf7 0.250 0.392 0.064
Hf8 0.750 0.957 0.122
Hf9 0.250 0.043 0.878
Hf10 0.750 0.543 0.622
Hf11 0.750 0.248 0.247
Hf12 0.250 0.457 0.378
# Mass density ... 11.326 Mg/m³
# Magnetic moment ... 0.00 μB/atom
# Energy ... -46.76 eV per formula unit

=====

(5)
# Hf8NiSb2 (PBE, optimized geometry)
data_Hf8NiSb2
_chemical_formula_sum 'Hf8 Ni1 Sb2'
_cell_length_a 4.693
_cell_length_b 5.850
_cell_length_c 9.324
_cell_angle_alpha 106.51
_cell_angle_beta 104.58
_cell_angle_gamma 90.00
_symmetry_space_group_name_H-M 'P 1'
_symmetry_Int_Tables_number 1
loop_
_symmetry_equiv_pos_as_xyz
'x,y,z'
loop_
_atom_site_label
_atom_site_fract_x
_atom_site_fract_y
_atom_site_fract_z
Hf1 0.021 0.768 0.042
Hf2 0.413 0.505 0.827
Hf3 0.979 0.232 0.958
Hf4 0.643 0.043 0.287
Hf5 0.357 0.957 0.713
Hf6 0.772 0.662 0.545
Hf7 0.587 0.495 0.173
Hf8 0.228 0.338 0.455
Sb1 0.183 0.780 0.366
Sb2 0.817 0.220 0.634
Ni1 0.500 0.000 0.000
# Mass density ... 12.131 Mg/m³
# Magnetic moment ... 0.00 μB/atom
# Energy ... -95.28 eV per formula unit

=====

(6)
# HfNi4Sb (PBE, optimized geometry)
data_HfNi4Sb
_chemical_formula_sum 'Hf1 Ni4 Sb1'
_cell_length_a 4.895
_cell_length_b 4.895
_cell_length_c 4.895
_cell_angle_alpha 60.00
_cell_angle_beta 60.00
_cell_angle_gamma 60.00
_symmetry_space_group_name_H-M 'P 1'
_symmetry_Int_Tables_number 1
loop_
_symmetry_equiv_pos_as_xyz
'x,y,z'
loop_
_atom_site_label
_atom_site_fract_x
_atom_site_fract_y
_atom_site_fract_z
Ni1 0.626 0.123 0.626
Ni2 0.626 0.626 0.626
Ni3 0.123 0.626 0.626
Ni4 0.626 0.626 0.123
Sb1 0.250 0.250 0.250
Hf1 0.000 0.000 0.000
# Mass density ... 10.713 Mg/m³
# Magnetic moment ... 0.16 μB/atom
# Energy ... -39.19 eV per formula unit

=====

(7)
# HfNi2Sb (PBE, optimized geometry)
data_HfNi2Sb
_chemical_formula_sum 'Hf2 Ni4 Sb2'
_cell_length_a 4.443
_cell_length_b 4.443
_cell_length_c 7.515
_cell_angle_alpha 90.00
_cell_angle_beta 90.00
_cell_angle_gamma 120.00
_symmetry_space_group_name_H-M 'P 1'
_symmetry_Int_Tables_number 1
loop_
_symmetry_equiv_pos_as_xyz
'x,y,z'
loop_
_atom_site_label
_atom_site_fract_x
_atom_site_fract_y
_atom_site_fract_z
Ni1 0.333 0.667 0.592
Ni2 0.667 0.333 0.092
Ni3 0.667 0.333 0.408
Ni4 0.333 0.667 0.908
Hf1 0.000 0.000 0.000
Hf2 0.000 0.000 0.500
Sb1 0.333 0.667 0.250
Sb2 0.667 0.333 0.750
# Mass density ... 10.795 Mg/m³
# Magnetic moment ... 0.00 μB/atom
# Energy ... -26.77 eV per formula unit

=====

(8)
# HfNi9Sb2 (PBE, optimized geometry)
data_HfNi9Sb2
_chemical_formula_sum 'Hf1 Ni9 Sb2'
_cell_length_a 4.794
_cell_length_b 4.794
_cell_length_c 8.689
_cell_angle_alpha 73.99
_cell_angle_beta 73.99
_cell_angle_gamma 60.00
_symmetry_space_group_name_H-M 'P 1'
_symmetry_Int_Tables_number 1
loop_
_symmetry_equiv_pos_as_xyz
'x,y,z'
loop_
_atom_site_label
_atom_site_fract_x
_atom_site_fract_y
_atom_site_fract_z
Ni1 0.581 0.581 0.757
Ni2 0.419 0.920 0.243
Ni3 0.500 0.500 0.500
Ni4 0.581 0.080 0.757
Ni5 0.667 0.667 0.000
Ni6 0.920 0.419 0.243
Ni7 0.333 0.333 0.000
Ni8 0.419 0.419 0.243
Ni9 0.080 0.581 0.757
Hf1 0.000 0.000 0.000
Sb1 0.128 0.128 0.615
Sb2 0.872 0.872 0.385
# Mass density ... 9.626 Mg/m³
# Magnetic moment ... 0.00 μB/atom
# Energy ... -71.99 eV per formula unit

=====

| no. | ΔE_f (raw) (kcal/mol of atoms) |
| --- | --- |
| 1 | -5.273 |
| 2 | -4.600 |
| 3 | -12.205 |
| 4 | -11.063 |
| 5 | -3.420 |
| 6 | -7.629 |
| 7 | -6.495 |
| 8 | -3.388 |